(1)
Material: Ti2CrInCu
Method: DFT, GGA-PBE
State: relaxed

Computed properties:
Energy of formation from the pure elements, eV/atom: 0.6390

```
data_Ti2CrInCu
_symmetry_space_group_name_H-M 'P 4/m m m'
_symmetry_Int_Tables_number 123
_symmetry_space_group_name_Hall '-P 4 2'
_cell_length_a 4.3942
_cell_length_b 4.3942
_cell_length_c 5.0189
_cell_angle_alpha 90.00
_cell_angle_beta 90.00
_cell_angle_gamma 90.00
loop_
_atom_site_label
_atom_site_type_symbol
_atom_site_fract_x
_atom_site_fract_y
_atom_site_fract_z
_atom_site_occupancy
Ti1 Ti 0.0000 0.5000 0.0000 1
Cr1 Cr 0.0000 0.0000 0.0000 1
In1 In 0.0000 0.0000 0.5000 1
Cu1 Cu 0.5000 0.5000 0.5000 1
```



(2)
Material: Cd2CuO
Method: DFT, GGA-PBE
State: relaxed

Computed properties:
Energy relative to the elements, uncorrected, eV per atom: -0.18

```
data_Cd2CuO
_symmetry_space_group_name_H-M 'I -4 2 d'
_symmetry_Int_Tables_number 122
_symmetry_space_group_name_Hall 'I -4 2bw'
_cell_length_a 6.5691
_cell_length_b 6.5691
_cell_length_c 6.3113
_cell_angle_alpha 90.00
_cell_angle_beta 90.00
_cell_angle_gamma 90.00
loop_
_atom_site_label
_atom_site_type_symbol
_atom_site_fract_x
_atom_site_fract_y
_atom_site_fract_z
_atom_site_occupancy
Cd1 Cd 0.1994 0.2500 0.1250 1
Cu1 Cu 0.0000 0.0000 0.5000 1
O1 O 0.0000 0.0000 0.0000 1
```



(3)
Material: SnSbOs3
Method: DFT, GGA-PBE
State: relaxed

Computed properties:
Energy relative to the elements, uncorrected, eV per atom: 2.23
Polymorph energy (0 for the lowest one), eV/f.u.: 0.00

```
data_SnSbOs3
_symmetry_space_group_name_H-M 'P m -3 m'
_symmetry_Int_Tables_number 221
_symmetry_space_group_name_Hall '-P 4 2 3'
_cell_length_a 4.8575
_cell_length_b 4.8575
_cell_length_c 4.8575
_cell_angle_alpha 90.00
_cell_angle_beta 90.00
_cell_angle_gamma 90.00
loop_
_atom_site_label
_atom_site_type_symbol
_atom_site_fract_x
_atom_site_fract_y
_atom_site_fract_z
_atom_site_occupancy
Sn1 Sn 0.0000 0.0000 0.0000 1
Sb1 Sb 0.5000 0.5000 0.5000 1
Os1 Os 0.0000 0.5000 0.5000 1
```



| no. | calculated density (g/cm³) | total DFT energy (no corrections) (eV/atom) |
| --- | --- | --- |
| 1 | 5.59 | -5.81 |
| 2 | 7.42 | -2.90 |
| 3 | 11.75 | -6.13 |